[1]
This record from Alexandria via LeMat-Bulk describes Ca2CuAg at its PBEsol-relaxed geometry. The functional is SCAN.

abc: 3.5568 3.5568 7.1729
angles: 90.00 90.00 90.00
Last column: nearest neighbours and their distance in Å.
Element x y z (fractional)
Ca 0.0000 0.0000 0.2392  4 Cu 3.04, 4 Ag 3.13
Ca 0.0000 0.0000 0.7608  4 Cu 3.04, 4 Ag 3.13
Cu 0.5000 0.5000 0.0000  8 Ca 3.04
Ag 0.5000 0.5000 0.5000  8 Ca 3.13

Values from the calculation:
N(E_F) = 0.683 states/eV per atom
Electronic total energy = -0.61138 Ha/atom

[2]
This record from Alexandria via LeMat-Bulk describes Zr2CrP at its PBEsol-relaxed geometry. The functional is SCAN.

abc: 5.7732 5.7732 5.7732
angles: 147.11 139.68 52.98
Last column: nearest neighbours and their distance in Å.
Element x y z (fractional)
Zr 0.0000 0.0000 0.0000  4 P 2.69
Zr 0.7395 0.2395 0.5000  4 Cr 2.59, 2 P 2.77
Cr 0.2626 0.7626 0.5000  2 P 2.35, 4 Zr 2.59
P 0.4256 0.4256 0.0000  2 Cr 2.35

Values from the calculation:
N(E_F) = 0.902 states/eV per atom
Electronic total energy = -0.84360 Ha/atom

[3]
This record from Alexandria via LeMat-Bulk describes CdSICl2 at its PBEsol-relaxed geometry. The functional is SCAN.

abc: 5.3698 5.3698 5.0654
angles: 90.00 90.00 90.00
Last column: nearest neighbours and their distance in Å.
Element x y z (fractional)
Cd 0.0000 0.0000 0.0000  8 Cl 3.69, 4 S 3.80
S 0.5000 0.5000 0.0000  2 I 2.53
I 0.5000 0.5000 0.5000  2 S 2.53, 4 Cl 2.68
Cl 0.0000 0.5000 0.5000  2 I 2.68
Cl 0.5000 0.0000 0.5000  2 I 2.68

Values from the calculation:
N(E_F) = 0.549 states/eV per atom
Raw formation energy = 136 kJ/mol of formula units

[4]
This record from Alexandria via LeMat-Bulk describes MgB12C2 at its PBEsol-relaxed geometry. The functional is SCAN.

abc: 6.8812 6.8812 6.8812
angles: 132.08 89.48 109.81
Last column: nearest neighbours and their distance in Å.
Element x y z (fractional)
Mg 0.3902 0.1402 0.2500  2 C 2.30
Mg 0.6098 0.8598 0.7500  2 C 2.30
B 0.0330 0.1865 0.3238  1 C 1.65, 4 B 1.76-1.79
B 0.0330 0.7092 0.8465  1 C 1.65, 4 B 1.76-1.79
B 0.0880 0.6819 0.4061  1 C 1.64, 5 B 1.75-1.80
B 0.1871 0.5203 0.6667  6 B 1.63-1.76
B 0.2243 0.3181 0.9061  1 C 1.64, 5 B 1.75-1.80
B 0.2243 0.4987 0.4024  6 B 1.73-1.81
B 0.2243 0.8219 0.7256  6 B 1.73-1.81
B 0.3536 0.5203 0.8333  6 B 1.63-1.76
B 0.3627 0.1865 0.6535  1 C 1.65, 4 B 1.76-1.79
B 0.3627 0.7092 0.1762  1 C 1.65, 4 B 1.76-1.79
B 0.4037 0.1781 0.9024  6 B 1.73-1.81
B 0.4037 0.5013 0.2256  6 B 1.73-1.81
B 0.5963 0.4987 0.7744  6 B 1.73-1.81
B 0.5963 0.8219 0.0976  6 B 1.73-1.81
B 0.6373 0.2908 0.8238  1 C 1.65, 4 B 1.76-1.79
B 0.6373 0.8135 0.3465  1 C 1.65, 4 B 1.76-1.79
B 0.6464 0.4797 0.1667  6 B 1.63-1.76
B 0.7757 0.1781 0.2744  6 B 1.73-1.81
B 0.7757 0.5013 0.5976  6 B 1.73-1.81
B 0.7757 0.6819 0.0939  1 C 1.64, 5 B 1.75-1.80
B 0.8129 0.4797 0.3333  6 B 1.63-1.76
B 0.9120 0.3181 0.5939  1 C 1.64, 5 B 1.75-1.80
B 0.9670 0.2908 0.1535  1 C 1.65, 4 B 1.76-1.79
B 0.9670 0.8135 0.6762  1 C 1.65, 4 B 1.76-1.79
C 0.0340 0.8707 0.1633  3 B 1.64-1.65, 1 C 1.69
C 0.2074 0.8707 0.3367  3 B 1.64-1.65, 1 C 1.69
C 0.7926 0.1293 0.6633  3 B 1.64-1.65, 1 C 1.69
C 0.9660 0.1293 0.8367  3 B 1.64-1.65, 1 C 1.69

Values from the calculation:
N(E_F) = 0.000 states/eV per atom
Electronic total energy = -0.28798 Ha/atom